DFT (SCAN) results for PHPbO2 at its PBEsol-relaxed geometry.

a = 4.368 Å, b = 4.368 Å, c = 3.594 Å
α = 90.00°, β = 90.00°, γ = 90.00°
Fractional positions:
P  0.000  0.000  0.000
H  0.500  0.500  0.000
Pb  0.500  0.500  0.500
O  0.000  0.500  0.500
O  0.500  0.000  0.500

- Space group: P4/mmm (123)
- Volume: 13.71 Å³/atom
- M_tot: 1.49 μB/cell
- Energy: -19.88 eV/atom